Density functional theory data (PBE) for a geometry-optimized ReRh2 structure.

The space group is Pmmm (No. 47) and the conventional cell measures 2.712, 3.908 and 8.134 Å, with angles of 90.00, 90.00 and 90.00 degrees. The asymmetric unit holds Re at (0.000, 0.000, 0.167), Rh at (0.000, 0.000, 0.500), Rh at (0.500, 0.500, 0.000) and Rh at (0.500, 0.500, 0.328).

For the energy relative to the lowest polymorph listed for this composition, the calculation gives 0.104 eV/atom. The value obtained for the energy of formation is -0.068 eV per atom. The value obtained for the calculated total energy is -54.71 eV/cell.


Density functional theory data (PBE) for a geometry-optimized Re3Rh structure.

The space group is Pm-3m (No. 221) and the conventional cell measures 4.724, 4.724 and 4.724 Å, with angles of 90.00, 90.00 and 90.00 degrees. The asymmetric unit holds Re at (0.000, 0.000, 0.500) and Rh at (0.000, 0.000, 0.000).

The value obtained for the energy of formation is 3.331 eV per atom. The value obtained for the calculated total energy is -31.37 eV/cell.


- Which formula does entry 2 have?
  Re3Rh


- calculated total energy of number 1 (ReRh2)?
  -54.71 eV/cell